No. 1
DFT (PBE) results for a relaxed FeAsPt2 crystal.

The raw total energy is -25.18 eV/cell. The value obtained for the formation energy is 0.0029 eV per atom. The density of states at the Fermi level is 3.658 states/eV/cell.

It has space group P4/mmm (No. 123), with a = 4.694 Å, b = 4.694 Å, c = 2.826 Å, α = 90.00°, β = 90.00° and γ = 90.00°. Symmetry generates all atoms from Fe at (0.000, 0.000, 0.000), As at (0.500, 0.500, 0.000) and Pt at (0.000, 0.500, 0.500).

***

No. 2
DFT (PBE) results for a relaxed Fe2As2Pt crystal.

The raw total energy is -64.09 eV/cell. The value obtained for the formation energy is 0.0441 eV per atom. The density of states at the Fermi level is 8.727 states/eV/cell.

It has space group P4/mbm (No. 127), with a = 6.938 Å, b = 6.938 Å, c = 2.855 Å, α = 90.00°, β = 90.00° and γ = 90.00°. Symmetry generates all atoms from Fe at (0.142, 0.358, 0.000), As at (0.154, 0.654, 0.500) and Pt at (0.000, 0.000, 0.500).